VASP calculation (PBE) on CuN2F2 after structural relaxation.

SG: P4/mmm (123)
N(E_F) (states/eV/f.u.): 4.94

Cell: 3.8717 3.8717 3.7947 Å, 90.00 90.00 90.00°
Site moments in Bohr magnetons follow the coordinates.
Positions (direct):
N1 0.0000 0.5000 0.0000  1.20
N2 0.5000 0.0000 0.0000  1.20
Cu1 0.0000 0.0000 0.0000  0.18
F1 0.5000 0.5000 0.5000  -0.06
F2 0.0000 0.0000 0.5000  0.05

VASP calculation (PBE) on CuN2F2 after structural relaxation.

SG: C2/m (12)

Cell: 2.9805 3.6039 8.2343 Å, 102.44 90.00 114.43°
Site moments in Bohr magnetons follow the coordinates.
Positions (direct):
Cu1 0.0000 0.0000 0.0000  0.70
N1 0.0214 0.0429 0.4386  0.00
N2 0.9786 0.9571 0.5614  0.00
F1 0.6629 0.3258 0.1151  0.14
F2 0.3371 0.6742 0.8849  0.14

VASP calculation (PBE) on CuNF2 after structural relaxation.

SG: Fm-3m (225)
N(E_F) (states/eV/f.u.): 5.22

Cell: 3.7809 3.7809 3.7809 Å, 60.00 60.00 60.00°
Positions (direct):
N1 0.0000 0.0000 0.0000
Cu1 0.5000 0.5000 0.5000
F1 0.2500 0.2500 0.2500
F2 0.7500 0.7500 0.7500

VASP calculation (PBE) on CuNF2 after structural relaxation.

SG: R-3m (166)
N(E_F) (states/eV/f.u.): 4.00

Cell: 7.0307 7.0307 7.0307 Å, 24.92 24.92 24.92°
Site moments in Bohr magnetons follow the coordinates.
Positions (direct):
N1 0.5000 0.5000 0.5000  1.67
Cu1 0.0000 0.0000 0.0000  -0.29
F1 0.9136 0.9136 0.9136  -0.03
F2 0.0864 0.0864 0.0864  -0.03

no.,energy (eV per atom)
1,-3.71
2,-5.75
3,-3.23
4,-3.41